# 1
Here is crystalline Cs2Ba3I8 at its relaxed geometry from Alexandria. Energies are from GGA-PBE.

Geometry as CIF:
```
data_Cs2Ba3I8
_cell_length_a 18.785
_cell_length_b 10.443
_cell_length_c 8.899
_cell_angle_alpha 90.00
_cell_angle_beta 109.65
_cell_angle_gamma 90.00
_symmetry_space_group_name_H-M 'C 1 2/m 1'
_symmetry_Int_Tables_number 12
_symmetry_space_group_name_Hall '-C 2y'
loop_
_atom_site_label
_atom_site_fract_x
_atom_site_fract_y
_atom_site_fract_z
Cs1 0.229 0.000 0.158
Ba1 0.000 0.243 0.500
Ba2 0.000 0.500 0.000
I1 0.104 0.500 0.410
I2 0.112 0.276 0.897
I3 0.113 0.000 0.448
```

electronic total energy: -3.2382 eV/atom
formation energy without anion corrections: -1709.2 meV/atom

# 2
Here is crystalline CsBaI3 at its relaxed geometry from Alexandria. Energies are from GGA-PBE.

Geometry as CIF:
```
data_CsBaI3
_cell_length_a 9.3734
_cell_length_b 9.3734
_cell_length_c 23.4353
_cell_angle_alpha 90.00
_cell_angle_beta 90.00
_cell_angle_gamma 120.00
_symmetry_space_group_name_H-M 'R 3 c'
_symmetry_Int_Tables_number 161
_symmetry_space_group_name_Hall 'R 3 -2"c'
loop_
_atom_site_label
_atom_site_fract_x
_atom_site_fract_y
_atom_site_fract_z
Cs1 0.0000 0.0000 0.0000
Ba1 0.0000 0.0000 0.2814
I1 0.0166 0.4116 0.0407
```

electronic total energy: -3.1706 eV/atom
formation energy without anion corrections: -1685.2 meV/atom

# 3
Here is crystalline CsBaI3 at its relaxed geometry from Alexandria. Energies are from GGA-PBE.

Geometry as CIF:
```
data_CsBaI3
_cell_length_a 6.0400
_cell_length_b 6.0400
_cell_length_c 20.6203
_cell_angle_alpha 90.00
_cell_angle_beta 90.00
_cell_angle_gamma 120.00
_symmetry_space_group_name_H-M 'P 63/m m c'
_symmetry_Int_Tables_number 194
_symmetry_space_group_name_Hall '-P 6c 2c'
loop_
_atom_site_label
_atom_site_fract_x
_atom_site_fract_y
_atom_site_fract_z
Cs1 0.0000 0.0000 0.0000
Ba1 0.3333 0.6667 0.2500
I1 0.0000 0.0000 0.2500
I2 0.3333 0.6667 0.0882
```

electronic total energy: -3.1004 eV/atom
formation energy without anion corrections: -1615.1 meV/atom

# 4
Here is crystalline CsBaI3 at its relaxed geometry from Alexandria. Energies are from GGA-PBE.

Geometry as CIF:
```
data_CsBaI3
_cell_length_a 6.844
_cell_length_b 6.844
_cell_length_c 6.844
_cell_angle_alpha 90.00
_cell_angle_beta 90.00
_cell_angle_gamma 90.00
_symmetry_space_group_name_H-M 'P m -3 m'
_symmetry_Int_Tables_number 221
_symmetry_space_group_name_Hall '-P 4 2 3'
loop_
_atom_site_label
_atom_site_fract_x
_atom_site_fract_y
_atom_site_fract_z
Cs1 0.000 0.000 0.000
Ba1 0.500 0.500 0.500
I1 0.000 0.000 0.500
```

electronic total energy: -2.4836 eV/atom
formation energy without anion corrections: -998.3 meV/atom

# 5
Here is crystalline CsBaI3 at its relaxed geometry from Alexandria. Energies are from GGA-PBE.

Geometry as CIF:
```
data_CsBaI3
_cell_length_a 8.826
_cell_length_b 8.959
_cell_length_c 9.928
_cell_angle_alpha 106.54
_cell_angle_beta 96.68
_cell_angle_gamma 115.74
_symmetry_space_group_name_H-M 'P 1'
_symmetry_Int_Tables_number 1
_symmetry_space_group_name_Hall 'P 1'
loop_
_atom_site_label
_atom_site_fract_x
_atom_site_fract_y
_atom_site_fract_z
Cs1 0.000 0.000 0.000
Cs2 0.310 0.510 0.903
Ba1 0.490 0.124 0.455
Ba2 0.828 0.772 0.446
I1 0.100 0.748 0.220
I2 0.244 0.018 0.696
I3 0.473 0.353 0.222
I4 0.670 0.566 0.690
I5 0.671 0.933 0.218
I6 0.814 0.129 0.694
```

electronic total energy: -3.1394 eV/atom
formation energy without anion corrections: -1654.0 meV/atom

# 6
Here is crystalline CsBaI3 at its relaxed geometry from Alexandria. Energies are from GGA-PBE.

Geometry as CIF:
```
data_CsBaI3
_cell_length_a 10.337
_cell_length_b 11.334
_cell_length_c 10.144
_cell_angle_alpha 90.00
_cell_angle_beta 90.00
_cell_angle_gamma 90.00
_symmetry_space_group_name_H-M 'P n m a'
_symmetry_Int_Tables_number 62
_symmetry_space_group_name_Hall '-P 2ac 2n'
loop_
_atom_site_label
_atom_site_fract_x
_atom_site_fract_y
_atom_site_fract_z
Cs1 0.000 0.000 0.000
Ba1 0.045 0.250 0.457
I1 0.134 0.554 0.355
I2 0.147 0.750 0.812
```

electronic total energy: -3.1042 eV/atom
formation energy without anion corrections: -1618.9 meV/atom

# 7
Here is crystalline CsBaI3 at its relaxed geometry from Alexandria. Energies are from GGA-PBE.

Geometry as CIF:
```
data_CsBaI3
_cell_length_a 11.302
_cell_length_b 5.166
_cell_length_c 19.799
_cell_angle_alpha 90.00
_cell_angle_beta 90.08
_cell_angle_gamma 90.00
_symmetry_space_group_name_H-M 'P 1 21/c 1'
_symmetry_Int_Tables_number 14
_symmetry_space_group_name_Hall '-P 2ybc'
loop_
_atom_site_label
_atom_site_fract_x
_atom_site_fract_y
_atom_site_fract_z
Cs1 0.088 0.001 0.395
Ba1 0.341 0.002 0.179
I1 0.169 0.000 0.040
I2 0.170 0.502 0.246
I3 0.455 0.003 0.348
```

electronic total energy: -3.1664 eV/atom
formation energy without anion corrections: -1681.1 meV/atom

# 8
Here is crystalline CsBaI3 at its relaxed geometry from Alexandria. Energies are from GGA-PBE.

Geometry as CIF:
```
data_CsBaI3
_cell_length_a 6.810
_cell_length_b 9.754
_cell_length_c 9.543
_cell_angle_alpha 90.00
_cell_angle_beta 110.16
_cell_angle_gamma 90.00
_symmetry_space_group_name_H-M 'P 1 21/m 1'
_symmetry_Int_Tables_number 11
_symmetry_space_group_name_Hall '-P 2yb'
loop_
_atom_site_label
_atom_site_fract_x
_atom_site_fract_y
_atom_site_fract_z
Cs1 0.189 0.250 0.387
Ba1 0.491 0.250 0.973
I1 0.016 0.750 0.041
I2 0.365 0.523 0.722
```

electronic total energy: -3.1544 eV/atom
formation energy without anion corrections: -1669.1 meV/atom